# 1
Below is a geometry-optimized Sc2AlRuC structure, with properties calculated at the PBE level.

a = 4.5301 Å, b = 4.5301 Å, c = 3.9291 Å
α = 90.00°, β = 90.00°, γ = 90.00°
Positions (direct):
Sc 0.0000 0.5000 0.0000
Sc 0.5000 0.0000 0.0000
Al 0.0000 0.0000 0.5000
Ru 0.5000 0.5000 0.5000
C 0.5000 0.5000 0.0000

Summary:
Space-group type = No. 123
Crystal system = tetragonal
Calculated total energy = -37.4 eV for the cell shown

=====

# 2
Below is a geometry-optimized MnCdW2 structure, with properties calculated at the PBE level.

a = 10.3334 Å, b = 10.3334 Å, c = 10.3334 Å
α = 158.94°, β = 158.94°, γ = 29.95°
Positions (direct):
Mn 0.0000 0.0000 0.0000
Mn 0.7500 0.2500 0.5000
Cd 0.2500 0.7500 0.5000
Cd 0.5000 0.5000 0.0000
W 0.1145 0.6250 0.9895
W 0.3750 0.3645 0.4895
W 0.6355 0.1250 0.0105
W 0.8750 0.8855 0.5105

Summary:
Space-group type = No. 122
Crystal system = tetragonal
Calculated total energy = -64.1 eV for the cell shown

=====

# 3
Below is a geometry-optimized La2Ga3Cu4Hg structure, with properties calculated at the PBE level.

a = 4.3652 Å, b = 4.3652 Å, c = 10.2366 Å
α = 90.00°, β = 90.00°, γ = 90.00°
Positions (direct):
La 0.0000 0.5000 0.2373
La 0.5000 0.0000 0.7627
Ga 0.0000 0.5000 0.8800
Ga 0.5000 0.0000 0.1200
Ga 0.5000 0.5000 0.5000
Cu 0.0000 0.0000 0.0000
Cu 0.0000 0.5000 0.6436
Cu 0.5000 0.0000 0.3564
Cu 0.5000 0.5000 0.0000
Hg 0.0000 0.0000 0.5000

Summary:
Space-group type = No. 115
Crystal system = tetragonal
Calculated total energy = -39.3 eV for the cell shown

=====

# 4
Below is a geometry-optimized Cs6RbPtAu structure, with properties calculated at the PBE level.

a = 9.5044 Å, b = 9.5044 Å, c = 9.4025 Å
α = 90.04°, β = 90.04°, γ = 119.98°
Positions (direct):
Cs 0.0969 0.0969 0.2116
Cs 0.0966 0.5306 0.7886
Cs 0.4684 0.0964 0.7886
Cs 0.4694 0.9034 0.2114
Cs 0.9031 0.9031 0.7884
Cs 0.9036 0.5316 0.2114
Rb 0.4897 0.5103 0.5000
Pt 0.1564 0.8436 0.0000
Au 0.8229 0.1771 0.0000

Summary:
Space-group type = No. 5
Crystal system = monoclinic
Calculated total energy = -16.0 eV for the cell shown

=====

# 5
Below is a geometry-optimized ZrMnCd structure, with properties calculated at the PBE level.

a = 6.2508 Å, b = 6.2508 Å, c = 6.2508 Å
α = 150.72°, β = 150.72°, γ = 41.88°
Positions (direct):
Zr 0.0000 0.0000 0.0000
Mn 0.6539 0.6539 0.0000
Cd 0.3077 0.3077 0.0000

Summary:
Space-group type = No. 107
Crystal system = tetragonal
Calculated total energy = -18.4 eV for the cell shown

=====

# 6
Below is a geometry-optimized LaMg2SnN structure, with properties calculated at the PBE level.

a = 6.8943 Å, b = 6.8943 Å, c = 8.0770 Å
α = 90.00°, β = 90.00°, γ = 146.46°
Positions (direct):
La 0.0284 0.9716 0.7500
La 0.9716 0.0284 0.2500
Mg 0.3492 0.6508 0.5471
Mg 0.3492 0.6508 0.9529
Mg 0.6508 0.3492 0.0471
Mg 0.6508 0.3492 0.4529
Sn 0.2390 0.7610 0.2500
Sn 0.7610 0.2390 0.7500
N 0.5000 0.5000 0.0000
N 0.5000 0.5000 0.5000

Summary:
Space-group type = No. 63
Raw formation energy = -583 meV/atom
Crystal system = orthorhombic

=====

# 7
Below is a geometry-optimized ZrAl2P structure, with properties calculated at the PBE level.

a = 3.4644 Å, b = 3.4644 Å, c = 5.6684 Å
α = 90.00°, β = 90.00°, γ = 90.00°
Positions (direct):
Zr 0.0000 0.0000 0.0000
Al 0.0000 0.0000 0.5159
Al 0.5000 0.5000 0.2881
P 0.5000 0.5000 0.7572

Summary:
Space-group type = No. 99
Crystal system = tetragonal
Calculated total energy = -23.3 eV for the cell shown